{
  "formula": "SrMnO3",
  "functional": "PBE+U",
  "state": "relaxed",
  "cell": [[-1.257, 19.994, -1.677], [-0.996, -0.381, -3.801], [-3.363, -6.640, 1.547]],
  "species": ["Sr", "Sr", "Sr", "Sr", "Mn", "Mn", "Mn", "Mn", "O", "O", "O", "O", "O", "O", "O", "O", "O", "O", "O", "O"],
  "frac_coords": [[0.370, 0.750, 0.350], [0.630, 0.250, 0.650], [0.130, 0.250, 0.150], [0.870, 0.750, 0.850], [0.073, 0.250, 0.553], [0.927, 0.750, 0.447], [0.427, 0.750, 0.947], [0.573, 0.250, 0.053], [0.461, 0.750, 0.252], [0.539, 0.250, 0.748], [0.039, 0.250, 0.248], [0.961, 0.750, 0.752], [0.223, 0.250, 0.013], [0.777, 0.750, 0.987], [0.277, 0.750, 0.487], [0.723, 0.250, 0.513], [0.536, 0.750, 0.984], [0.464, 0.250, 0.016], [0.964, 0.250, 0.516], [0.036, 0.750, 0.484]],
  "dft_energy_ev_per_cell": -135.1,
  "space_group": "P2_1/m (11)",
  "vol_a3_per_atom": 15.5
}